No. 1
A plane-wave DFT calculation with GGA-PBE was carried out for crystalline LaPrDyZr at its relaxed geometry.

Results
total energy: -22.040 eV for the cell shown
Fermi-level density of states: 1.828 states/eV per atom
energy relative to the elements: 0.2042 eV/atom

a b c (Å): 5.5830 5.5830 5.5830
angles (deg): 60.00 60.00 60.00
Element x y z (fractional)
1 La 0.0000 0.0000 0.0000
2 Pr 0.5000 0.5000 0.5000
3 Dy 0.2500 0.2500 0.2500
4 Zr 0.7500 0.7500 0.7500

---

No. 2
A plane-wave DFT calculation with GGA-PBE was carried out for crystalline LaDy3Pt8 at its relaxed geometry.

Results
total energy: -79.726 eV for the cell shown
Fermi-level density of states: 0.450 states/eV per atom
energy relative to the elements: -1.0555 eV/atom

a b c (Å): 5.4788 5.4788 8.9549
angles (deg): 90.00 90.00 120.00
Element x y z (fractional)
1 La 0.0000 0.0000 0.0000
2 Dy 0.0000 0.0000 0.3737
3 Dy 0.6667 0.3333 0.4940
4 Dy 0.6667 0.3333 0.8589
5 Pt 0.1648 0.3297 0.6790
6 Pt 0.1648 0.8352 0.6790
7 Pt 0.3333 0.6667 0.4308
8 Pt 0.3333 0.6667 0.9315
9 Pt 0.5027 0.0053 0.1854
10 Pt 0.5027 0.4973 0.1854
11 Pt 0.6703 0.8352 0.6790
12 Pt 0.9947 0.4973 0.1854

---

Question: Number 2 is which compound?
Answer: LaDy3Pt8

---

Question: Among the records above, which one has the highest Fermi-level density of states?
Answer: LaPrDyZr